Dy4InCu2 | Alexandria via LeMat-Bulk | PBE | relaxed; ΔE_f = -0.071 eV per atom; crystal system = trigonal; density of states at the Fermi level = 8.4 states/eV/f.u.; space group = R-3m
1.0
4.898 0.000 0.000
2.449 4.242 0.000
2.449 1.414 8.880
Dy In Cu
4 1 2
Direct
0.384 0.384 0.849 Dy
0.205 0.205 0.386 Dy
0.795 0.795 0.614 Dy
0.616 0.616 0.151 Dy
0.000 0.000 0.000 In
0.099 0.099 0.702 Cu
0.901 0.901 0.298 Cu